DFT (GGA-PBE) results for a relaxed Y3HgSb crystal.

Properties
The crystal system is cubic. The energy above the most stable polymorph in this dataset comes out at 0 meV/atom. The total magnetic moment is 0.0 μB per cell. The value obtained for the theoretical density is 5.6 g/cm³. The total energy comes out at -0.3560 Ry per atom. The uncorrected formation energy comes out at -0.08 eV/atom.

abc: 5.574 5.574 5.574
angles: 90.00 90.00 90.00
Space group Pm-3m (No. 221)
Inequivalent atoms, fractional coordinates:
Y 0.000 0.000 0.500 [3 per cell]
Hg 0.000 0.000 0.000 [1 per cell]
Sb 0.500 0.500 0.500 [1 per cell]